[1]
First-principles (PBE) data for AcGdDy after structural relaxation, as listed in the Open Quantum Materials Database.

## Properties
**Space group**: F-43m (216)
**Relative energy among the computed polymorphs**: 0.000 eV/atom
**Energy of formation from the pure elements**: 0.6775 eV/atom

Unit cell a=5.6450 b=5.6450 c=5.6450 alpha=60.00 beta=60.00 gamma=60.00
Positions (direct):
Ac1 0.0000 0.0000 0.0000
Gd1 0.5000 0.5000 0.5000
Dy1 0.2500 0.2500 0.2500

***

[2]
First-principles (PBE) data for HfCuBPd after structural relaxation, as listed in the Open Quantum Materials Database.

## Properties
**Space group**: F-43m (216)
**Relative energy among the computed polymorphs**: 0.227 eV/atom

Unit cell a=4.2725 b=4.2725 c=4.2725 alpha=60.00 beta=60.00 gamma=60.00
Positions (direct):
Hf1 0.0000 0.0000 0.0000
Cu1 0.2500 0.2500 0.2500
B1 0.5000 0.5000 0.5000
Pd1 0.7500 0.7500 0.7500

***

[3]
First-principles (PBE) data for UAs2 after structural relaxation, as listed in the Open Quantum Materials Database.

## Properties
**Space group**: Pnma (62)

Unit cell a=7.0958 b=3.8899 c=9.4200 alpha=90.00 beta=90.00 gamma=90.00
Positions (direct):
U1 0.2047 0.2500 0.1482
U2 0.2953 0.7500 0.6482
U3 0.7047 0.2500 0.3518
U4 0.7953 0.7500 0.8518
As1 0.0979 0.2500 0.8310
As2 0.1059 0.2500 0.4531
As3 0.3941 0.7500 0.9531
As4 0.4021 0.7500 0.3310
As5 0.5979 0.2500 0.6690
As6 0.6059 0.2500 0.0469
As7 0.8941 0.7500 0.5469
As8 0.9021 0.7500 0.1690

***

[4]
First-principles (PBE) data for Pr2Sc2CI2Cl3 after structural relaxation, as listed in the Open Quantum Materials Database.

## Properties
**Space group**: C2/m (12)
**Relative energy among the computed polymorphs**: 0.064 eV/atom

Unit cell a=9.3295 b=9.3295 c=7.9220 alpha=101.17 beta=101.17 gamma=23.39
Positions (direct):
Pr1 0.1393 0.1393 0.0776
Pr2 0.8607 0.8607 0.9224
Sc1 0.4983 0.4983 0.1923
Sc2 0.5017 0.5017 0.8077
C1 0.0000 0.0000 0.0000
I1 0.3336 0.3336 0.2212
I2 0.6664 0.6664 0.7788
Cl1 0.0000 0.0000 0.5000
Cl2 0.3623 0.3623 0.6601
Cl3 0.6377 0.6377 0.3399

***

[5]
First-principles (PBE) data for KNi3Sb5 after structural relaxation, as listed in the Open Quantum Materials Database.

## Properties
**Space group**: P6/mmm (191)

Unit cell a=5.4023 b=5.4023 c=8.8269 alpha=90.00 beta=90.00 gamma=120.00
Positions (direct):
K1 0.0000 0.0000 0.0000
Ni1 0.0000 0.5000 0.5000
Ni2 0.5000 0.0000 0.5000
Ni3 0.5000 0.5000 0.5000
Sb1 0.0000 0.0000 0.5000
Sb2 0.3333 0.6667 0.2585
Sb3 0.3333 0.6667 0.7415
Sb4 0.6667 0.3333 0.2585
Sb5 0.6667 0.3333 0.7415

***

[6]
First-principles (PBE) data for TlCoAgPd after structural relaxation, as listed in the Open Quantum Materials Database.

## Properties
**Space group**: F-43m (216)
**Relative energy among the computed polymorphs**: 0.000 eV/atom

Unit cell a=4.5581 b=4.5581 c=4.5581 alpha=60.00 beta=60.00 gamma=60.00
Positions (direct):
Tl1 0.0000 0.0000 0.0000
Co1 0.2500 0.2500 0.2500
Ag1 0.5000 0.5000 0.5000
Pd1 0.7500 0.7500 0.7500

***

[7]
First-principles (PBE) data for DyBeNO after structural relaxation, as listed in the Open Quantum Materials Database.

## Properties
**Space group**: Pca2_1 (29)
**Relative energy among the computed polymorphs**: 0.173 eV/atom

Unit cell a=5.3917 b=6.3516 c=4.8941 alpha=90.00 beta=90.00 gamma=90.00
Positions (direct):
Dy1 0.0522 0.2171 0.0000
Dy2 0.4478 0.2171 0.5000
Dy3 0.5522 0.7829 0.0000
Dy4 0.9478 0.7829 0.5000
Be1 0.0819 0.6018 0.0164
Be2 0.4181 0.6018 0.5164
Be3 0.5819 0.3982 0.0164
Be4 0.9181 0.3982 0.5164
N1 0.1557 0.5199 0.6972
N2 0.3443 0.5199 0.1972
N3 0.6557 0.4801 0.6972
N4 0.8443 0.4801 0.1972
O1 0.0208 0.1419 0.5099
O2 0.4792 0.1419 0.0099
O3 0.5208 0.8581 0.5099
O4 0.9792 0.8581 0.0099

***

[8]
First-principles (PBE) data for DyB4Sb after structural relaxation, as listed in the Open Quantum Materials Database.

## Properties
**Space group**: Immm (71)
**Relative energy among the computed polymorphs**: 0.000 eV/atom

Unit cell a=5.3139 b=5.3139 c=5.3139 alpha=145.02 beta=121.31 gamma=70.18
Positions (direct):
Dy1 0.0000 0.0000 0.0000
B1 0.0549 0.7337 0.3212
B2 0.4126 0.7337 0.6788
B3 0.5874 0.2663 0.3212
B4 0.9451 0.2663 0.6788
Sb1 0.5000 0.5000 0.0000

***

[9]
First-principles (PBE) data for PmGaAu after structural relaxation, as listed in the Open Quantum Materials Database.

## Properties
**Space group**: F-43m (216)
**Relative energy among the computed polymorphs**: 0.565 eV/atom

Unit cell a=4.8722 b=4.8722 c=4.8722 alpha=60.00 beta=60.00 gamma=60.00
Positions (direct):
Pm1 0.0000 0.0000 0.0000
Ga1 0.2500 0.2500 0.2500
Au1 0.7500 0.7500 0.7500

***

[10]
First-principles (PBE) data for PmNpRe after structural relaxation, as listed in the Open Quantum Materials Database.

## Properties
**Space group**: F-43m (216)
**Energy of formation from the pure elements**: 0.5998 eV/atom

Unit cell a=4.7938 b=4.7938 c=4.7938 alpha=60.00 beta=60.00 gamma=60.00
Positions (direct):
Pm1 0.0000 0.0000 0.0000
Np1 0.5000 0.5000 0.5000
Re1 0.2500 0.2500 0.2500

***

[11]
First-principles (PBE) data for Nd3AlGaPd4 after structural relaxation, as listed in the Open Quantum Materials Database.

## Properties
**Space group**: Cm (8)

Unit cell a=5.6332 b=5.6332 c=8.7940 alpha=97.32 beta=97.32 gamma=45.63
Positions (direct):
Nd1 0.0000 0.0000 0.0000
Nd2 0.3751 0.3751 0.6131
Nd3 0.6225 0.6225 0.3814
Al1 0.6775 0.6775 0.7871
Ga1 0.3215 0.3215 0.2163
Pd1 0.0862 0.0862 0.6400
Pd2 0.2785 0.2785 0.9095
Pd3 0.7204 0.7204 0.0876
Pd4 0.9162 0.9162 0.3633

***

[12]
First-principles (PBE) data for YZrPa after structural relaxation, as listed in the Open Quantum Materials Database.

## Properties
**Space group**: F-43m (216)
**Relative energy among the computed polymorphs**: 0.000 eV/atom
**Energy of formation from the pure elements**: 1.1622 eV/atom

Unit cell a=5.0763 b=5.0763 c=5.0763 alpha=60.00 beta=60.00 gamma=60.00
Positions (direct):
Y1 0.0000 0.0000 0.0000
Zr1 0.5000 0.5000 0.5000
Pa1 0.2500 0.2500 0.2500

***

[13]
First-principles (PBE) data for K3Na2ReO6 after structural relaxation, as listed in the Open Quantum Materials Database.

## Properties
**Space group**: C2/m (12)
**Relative energy among the computed polymorphs**: 0.000 eV/atom

Unit cell a=5.8079 b=5.8079 c=6.1513 alpha=99.09 beta=99.09 gamma=119.66
Positions (direct):
K1 0.0000 0.0000 0.0000
K2 0.3225 0.6775 0.0000
K3 0.6775 0.3225 0.0000
Na1 0.1658 0.8342 0.5000
Na2 0.8342 0.1658 0.5000
Re1 0.5000 0.5000 0.5000
O1 0.1659 0.4377 0.3134
O2 0.2948 0.2948 0.6902
O3 0.4377 0.1659 0.3134
O4 0.5623 0.8341 0.6866
O5 0.7052 0.7052 0.3098
O6 0.8341 0.5623 0.6866

***

[14]
First-principles (PBE) data for GdNb2Si2As after structural relaxation, as listed in the Open Quantum Materials Database.

## Properties
**Space group**: P4mm (99)

Unit cell a=3.9552 b=3.9552 c=7.8756 alpha=90.00 beta=90.00 gamma=90.00
Positions (direct):
Gd1 0.0000 0.0000 0.0000
Nb1 0.0000 0.5000 0.3624
Nb2 0.5000 0.0000 0.3624
Si1 0.0000 0.0000 0.6156
Si2 0.5000 0.5000 0.1272
As1 0.5000 0.5000 0.6317

***

[15]
First-principles (PBE) data for TbGd2Sn3Ir2Pd after structural relaxation, as listed in the Open Quantum Materials Database.

## Properties
**Space group**: Amm2 (38)

Unit cell a=3.9772 b=7.5351 c=7.5351 alpha=119.96 beta=90.00 gamma=90.00
Positions (direct):
Tb1 0.0000 0.0000 0.0000
Gd1 0.0000 0.1789 0.5896
Gd2 0.0000 0.5896 0.1789
Sn1 0.5000 0.3271 0.3271
Sn2 0.5000 0.5899 0.8518
Sn3 0.5000 0.8518 0.5899
Ir1 0.5000 0.2557 0.9232
Ir2 0.5000 0.9232 0.2557
Pd1 0.0000 0.5901 0.5901

***

[16]
First-principles (PBE) data for AcCoAs after structural relaxation, as listed in the Open Quantum Materials Database.

## Properties
**Space group**: F-43m (216)
**Relative energy among the computed polymorphs**: 0.726 eV/atom

Unit cell a=5.0447 b=5.0447 c=5.0447 alpha=60.00 beta=60.00 gamma=60.00
Positions (direct):
Ac1 0.0000 0.0000 0.0000
Co1 0.2500 0.2500 0.2500
As1 0.7500 0.7500 0.7500

***

[17]
First-principles (PBE) data for Hf2P2O9 after structural relaxation, as listed in the Open Quantum Materials Database.

## Properties
**Space group**: C2/m (12)

Unit cell a=7.5148 b=7.5148 c=9.8509 alpha=126.36 beta=126.36 gamma=52.07
Positions (direct):
Hf1 0.0573 0.0573 0.4012
Hf2 0.3166 0.3166 0.8642
Hf3 0.6834 0.6834 0.1358
Hf4 0.9427 0.9427 0.5988
P1 0.1716 0.1716 0.0502
P2 0.4092 0.4092 0.6590
P3 0.5908 0.5908 0.3410
P4 0.8284 0.8284 0.9498
O1 0.0034 0.6221 0.8477
O2 0.0318 0.0318 0.8614
O3 0.1153 0.1153 0.6586
O4 0.2443 0.6234 0.5989
O5 0.2662 0.2662 0.5892
O6 0.2761 0.2761 0.0305
O7 0.3766 0.7557 0.4011
O8 0.3779 0.9966 0.1523
O9 0.4851 0.4851 0.8660
O10 0.5149 0.5149 0.1340
O11 0.6221 0.0034 0.8477
O12 0.6234 0.2443 0.5989
O13 0.7239 0.7239 0.9695
O14 0.7338 0.7338 0.4108
O15 0.7557 0.3766 0.4011
O16 0.8847 0.8847 0.3414
O17 0.9682 0.9682 0.1386
O18 0.9966 0.3779 0.1523

***

[18]
First-principles (PBE) data for Zn2Te after structural relaxation, as listed in the Open Quantum Materials Database.

## Properties
**Space group**: Pmmn (59)
**Relative energy among the computed polymorphs**: 0.000 eV/atom

Unit cell a=5.0663 b=11.0319 c=4.6007 alpha=90.00 beta=90.00 gamma=90.00
Positions (direct):
Zn1 0.2500 0.1338 0.0421
Zn2 0.2500 0.2500 0.5353
Zn3 0.2500 0.3662 0.0421
Zn4 0.2500 0.7500 0.1932
Zn5 0.7500 0.2500 0.8068
Zn6 0.7500 0.6338 0.9579
Zn7 0.7500 0.7500 0.4647
Zn8 0.7500 0.8662 0.9579
Te1 0.2500 0.5747 0.7231
Te2 0.2500 0.9253 0.7231
Te3 0.7500 0.0747 0.2769
Te4 0.7500 0.4253 0.2769

***

[19]
First-principles (PBE) data for CuAg4 after structural relaxation, as listed in the Open Quantum Materials Database.

## Properties
**Space group**: P4/nmm (129)
**Relative energy among the computed polymorphs**: 0.015 eV/atom
**Energy of formation from the pure elements**: 0.0393 eV/atom

Unit cell a=2.9065 b=2.9065 c=19.8932 alpha=90.00 beta=90.00 gamma=90.00
Positions (direct):
Cu1 0.2500 0.2500 0.1431
Cu2 0.7500 0.7500 0.8569
Ag1 0.2500 0.2500 0.3398
Ag2 0.2500 0.2500 0.5534
Ag3 0.2500 0.2500 0.7666
Ag4 0.2500 0.2500 0.9466
Ag5 0.7500 0.7500 0.0534
Ag6 0.7500 0.7500 0.2334
Ag7 0.7500 0.7500 0.4466
Ag8 0.7500 0.7500 0.6602

***

[20]
First-principles (PBE) data for NaTbCuSe3 after structural relaxation, as listed in the Open Quantum Materials Database.

## Properties
**Space group**: P2_1/m (11)

Unit cell a=8.3470 b=4.0582 c=9.9091 alpha=90.00 beta=106.45 gamma=90.00
Positions (direct):
Na1 0.1917 0.2500 0.1811
Na2 0.8083 0.7500 0.8189
Tb1 0.3198 0.7500 0.8511
Tb2 0.6802 0.2500 0.1489
Cu1 0.0812 0.2500 0.6003
Cu2 0.9188 0.7500 0.3997
Se1 0.0776 0.2500 0.8475
Se2 0.2085 0.7500 0.5428
Se3 0.4391 0.7500 0.1536
Se4 0.5609 0.2500 0.8464
Se5 0.7915 0.2500 0.4572
Se6 0.9224 0.7500 0.1525

***

[21]
First-principles (PBE) data for PaBePd after structural relaxation, as listed in the Open Quantum Materials Database.

## Properties
**Space group**: F-43m (216)
**Relative energy among the computed polymorphs**: 0.027 eV/atom

Unit cell a=4.4607 b=4.4607 c=4.4607 alpha=60.00 beta=60.00 gamma=60.00
Positions (direct):
Pa1 0.0000 0.0000 0.0000
Be1 0.5000 0.5000 0.5000
Pd1 0.7500 0.7500 0.7500

***

[22]
First-principles (PBE) data for K2SrOsO6 after structural relaxation, as listed in the Open Quantum Materials Database.

## Properties
**Space group**: Fm-3m (225)

Unit cell a=6.0084 b=6.0084 c=6.0084 alpha=60.00 beta=60.00 gamma=60.00
Positions (direct):
K1 0.2500 0.2500 0.2500
K2 0.7500 0.7500 0.7500
Sr1 0.0000 0.0000 0.0000
Os1 0.5000 0.5000 0.5000
O1 0.2811 0.2811 0.7189
O2 0.2811 0.7189 0.2811
O3 0.2811 0.7189 0.7189
O4 0.7189 0.2811 0.2811
O5 0.7189 0.2811 0.7189
O6 0.7189 0.7189 0.2811

***

[23]
First-principles (PBE) data for Nd2NiAgGe4 after structural relaxation, as listed in the Open Quantum Materials Database.

## Properties
**Space group**: Amm2 (38)

Unit cell a=4.3114 b=9.0217 c=9.0217 alpha=27.56 beta=90.00 gamma=90.00
Positions (direct):
Nd1 0.0000 0.0000 0.0000
Nd2 0.5000 0.2083 0.2083
Ni1 0.5000 0.4238 0.4238
Ag1 0.0000 0.7741 0.7741
Ge1 0.0000 0.3626 0.3626
Ge2 0.0000 0.6322 0.6322
Ge3 0.5000 0.5574 0.5574
Ge4 0.5000 0.8627 0.8627

***

[24]
First-principles (PBE) data for PaSbW after structural relaxation, as listed in the Open Quantum Materials Database.

## Properties
**Space group**: F-43m (216)
**Relative energy among the computed polymorphs**: 0.766 eV/atom

Unit cell a=4.8455 b=4.8455 c=4.8455 alpha=60.00 beta=60.00 gamma=60.00
Positions (direct):
Pa1 0.0000 0.0000 0.0000
Sb1 0.7500 0.7500 0.7500
W1 0.2500 0.2500 0.2500

***

Number 1: electronic total energy -3.7764 eV/atom. Number 2: electronic total energy -6.2302 eV/atom. Number 3: electronic total energy -7.4524 eV/atom. Number 4: electronic total energy -5.3658 eV/atom. Number 5: electronic total energy -4.4948 eV/atom. Number 6: electronic total energy -4.1318 eV/atom. Number 7: electronic total energy -7.3780 eV/atom. Number 8: electronic total energy -5.9103 eV/atom. Number 9: electronic total energy -3.8963 eV/atom. Number 10: electronic total energy -9.3794 eV/atom. Number 11: electronic total energy -5.4505 eV/atom. Number 12: electronic total energy -7.0072 eV/atom. Number 13: electronic total energy -5.6622 eV/atom. Number 14: electronic total energy -7.0671 eV/atom. Number 15: electronic total energy -6.2870 eV/atom. Number 16: electronic total energy -4.9681 eV/atom. Number 17: electronic total energy -8.7012 eV/atom. Number 18: electronic total energy -1.9212 eV/atom. Number 19: electronic total energy -2.9636 eV/atom. Number 20: electronic total energy -4.4682 eV/atom. Number 21: electronic total energy -6.0079 eV/atom. Number 22: electronic total energy -6.1419 eV/atom. Number 23: electronic total energy -5.1382 eV/atom. Number 24: electronic total energy -7.7424 eV/atom.